1.
First-principles (PBE) data for a relaxed structure of SrTaCr2, as listed in Alexandria. Values from VASP.

The structure in Quantum ESPRESSO input format:
```
&SYSTEM
  ibrav = 0, nat = 4, ntyp = 3
/
ATOMIC_SPECIES
Sr 87.62 Sr.upf
Ta 180.95 Ta.upf
Cr 52.00 Cr.upf
ATOMIC_POSITIONS crystal
Sr 0.000 0.000 0.000
Ta 0.500 0.500 0.500
Cr 0.000 0.000 0.500
Cr 0.500 0.500 0.000
CELL_PARAMETERS angstrom
5.242 0.000 0.000
0.000 2.984 0.000
-2.198 0.000 5.282
```

Properties
DOS(E_F): 1.22 states/eV/atom
Formation energy from the elements: 1.20 eV per atom
ΔE to the lowest computed polymorph: 576 meV/atom
Final energy: -28.0 eV per cell
Density: 7.49 g cm⁻³


2.
First-principles (PBE) data for a relaxed structure of MnW, as listed in Alexandria. Values from VASP.

The structure in Quantum ESPRESSO input format:
```
&SYSTEM
  ibrav = 0, nat = 2, ntyp = 2
/
ATOMIC_SPECIES
Mn 54.94 Mn.upf
W 183.84 W.upf
ATOMIC_POSITIONS crystal
Mn 0.000 0.000 0.000
W 0.500 0.500 0.500
CELL_PARAMETERS angstrom
1.574 -2.162 0.000
1.574 2.162 0.000
0.000 0.000 4.106
```

Properties
DOS(E_F): 0.84 states/eV/atom
Formation energy from the elements: 0.13 eV per atom
Final energy: -21.9 eV per cell
Density: 14.19 g cm⁻³


3.
First-principles (PBE) data for a relaxed structure of BeGeN3, as listed in Alexandria. Values from VASP.

The structure in Quantum ESPRESSO input format:
```
&SYSTEM
  ibrav = 0, nat = 5, ntyp = 3
/
ATOMIC_SPECIES
Be 9.01 Be.upf
Ge 72.64 Ge.upf
N 14.01 N.upf
ATOMIC_POSITIONS crystal
Be 0.000 0.000 0.000
Ge 0.500 0.500 0.500
N 0.000 0.000 0.500
N 0.000 0.500 0.000
N 0.500 0.000 0.000
CELL_PARAMETERS angstrom
3.523 0.000 0.000
0.000 3.523 0.000
0.000 0.000 3.523
```

Properties
DOS(E_F): 0.64 states/eV/atom
Final energy: -25.7 eV per cell
Density: 4.70 g cm⁻³
Formation energy (no corrections): 1.525 eV per atom